(1)
VASP calculation (PBE-GGA) on crystalline Ca2MoPt at its relaxed geometry.

Unit cell a=4.4242 b=5.8081 c=5.8081 alpha=43.97 beta=90.00 gamma=90.00
Closest atoms and distances in Å follow each position.
Fractional coordinates of all 4 atoms:
Ca (0.0000, 0.0000, 0.0000)  3 Pt 3.06-3.24, 4 Mo 3.28
Ca (0.5000, 0.2971, 0.2971)  3 Mo 3.04-3.26, 4 Pt 3.27
Mo (0.5000, 0.5994, 0.5994)  2 Pt 2.46
Pt (0.0000, 0.6996, 0.6996)  2 Mo 2.46

Computed properties:
ΔH_f (0 K): 68 meV per atom
calculated density: 5.95 Mg/m³
calculated volume: 103.6 Å³/cell
spin magnetization: 0.0 μB/f.u.

=====

(2)
VASP calculation (PBE-GGA) on crystalline NbPdNF2 at its relaxed geometry.

Unit cell a=4.1438 b=4.1438 c=4.0341 alpha=90.00 beta=90.00 gamma=90.00
Closest atoms and distances in Å follow each position.
Fractional coordinates of all 5 atoms:
Nb (0.0000, 0.0000, 0.0000)  2 N 2.02, 4 F 2.07
Pd (0.5000, 0.5000, 0.5000)  8 F 2.89, 4 N 2.93
N (0.0000, 0.0000, 0.5000)  2 Nb 2.02
F (0.0000, 0.5000, 0.0000)  2 Nb 2.07
F (0.5000, 0.0000, 0.0000)  2 Nb 2.07

Computed properties:
calculated density: 6.02 Mg/m³
calculated volume: 69.3 Å³/cell
spin magnetization: 0.0 μB/f.u.
energy relative to the elements, uncorrected: -0.95 eV/atom

=====

(3)
VASP calculation (PBE-GGA) on crystalline LiRe2Sb at its relaxed geometry.

Unit cell a=5.1158 b=5.1158 c=5.1158 alpha=136.18 beta=136.18 gamma=63.70
Closest atoms and distances in Å follow each position.
Fractional coordinates of all 4 atoms:
Li (0.0000, 0.0000, 0.0000)  4 Sb 2.70, 8 Re 2.89
Re (0.2500, 0.7500, 0.5000)  4 Re 2.70, 4 Sb 2.89, 4 Li 2.89
Re (0.7500, 0.2500, 0.5000)  4 Re 2.70, 4 Sb 2.89, 4 Li 2.89
Sb (0.5000, 0.5000, 0.0000)  4 Li 2.70, 8 Re 2.89

Computed properties:
calculated density: 13.14 Mg/m³
calculated volume: 63.3 Å³/cell
spin magnetization: 0.0 μB/f.u.
energy relative to the elements, uncorrected: 0.50 eV/atom

=====

(4)
VASP calculation (PBE-GGA) on crystalline LiTm3H3 at its relaxed geometry.

Unit cell a=6.1977 b=6.1977 c=6.1977 alpha=90.00 beta=90.00 gamma=90.00
Closest atoms and distances in Å follow each position.
Fractional coordinates of all 14 atoms:
Li (0.0000, 0.0000, 0.0000)  12 H 3.46, 12 Tm 3.46
Li (0.5000, 0.5000, 0.5000)  12 H 3.46, 12 Tm 3.46
Tm (0.0000, 0.2500, 0.5000)  4 H 2.19
Tm (0.0000, 0.7500, 0.5000)  4 H 2.19
Tm (0.2500, 0.5000, 0.0000)  4 H 2.19
Tm (0.5000, 0.0000, 0.2500)  4 H 2.19
Tm (0.5000, 0.0000, 0.7500)  4 H 2.19
Tm (0.7500, 0.5000, 0.0000)  4 H 2.19
H (0.0000, 0.5000, 0.2500)  4 Tm 2.19
H (0.0000, 0.5000, 0.7500)  4 Tm 2.19
H (0.2500, 0.0000, 0.5000)  4 Tm 2.19
H (0.5000, 0.2500, 0.0000)  4 Tm 2.19
H (0.5000, 0.7500, 0.0000)  4 Tm 2.19
H (0.7500, 0.0000, 0.5000)  4 Tm 2.19

Computed properties:
calculated density: 7.21 Mg/m³
calculated volume: 238.1 Å³/cell
spin magnetization: 1.7 μB/f.u.
electronic total energy: -53.69 eV/cell

=====

Which of these has the lowest calculated density? Ca2MoPt